Compound: HfScSi3
Source: Alexandria
Functional: PBE-GGA
Structure: optimized geometry

Formation energy (no corrections) = 0.520 eV/atom
Density of states at the Fermi level = 4.90 states/eV per cell

a = 4.9317 Å, b = 4.9317 Å, c = 4.9317 Å
α = 90.00°, β = 90.00°, γ = 90.00°
With the nearest neighbours (Å) after each atom.
Element x y z (fractional)
1 Hf 0.0000 0.0000 0.0000  6 Si 2.47
2 Sc 0.5000 0.5000 0.5000  12 Si 3.49
3 Si 0.0000 0.0000 0.5000  2 Hf 2.47
4 Si 0.0000 0.5000 0.0000  2 Hf 2.47
5 Si 0.5000 0.0000 0.0000  2 Hf 2.47

Compound: Ga2CuRu
Source: Alexandria
Functional: PBE-GGA
Structure: optimized geometry

Energy of formation = -0.217 eV per atom
Density of states at the Fermi level = 1.14 states/eV per cell

a = 3.1517 Å, b = 3.1517 Å, c = 5.5995 Å
α = 90.00°, β = 90.00°, γ = 90.00°
With the nearest neighbours (Å) after each atom.
Element x y z (fractional)
1 Ga 0.0000 0.0000 0.2477  4 Ru 2.63, 4 Cu 2.64, 2 Ga 2.77-2.83
2 Ga 0.0000 0.0000 0.7523  4 Ru 2.63, 4 Cu 2.64, 2 Ga 2.77-2.83
3 Cu 0.5000 0.5000 0.5000  8 Ga 2.64, 2 Ru 2.80
4 Ru 0.5000 0.5000 0.0000  8 Ga 2.63, 2 Cu 2.80

Compound: Dy5HoNi2
Source: Alexandria
Functional: PBE-GGA
Structure: optimized geometry

Energy of formation = -0.156 eV per atom
Density of states at the Fermi level = 20.00 states/eV per cell

a = 6.7677 Å, b = 6.7677 Å, c = 18.2698 Å
α = 90.00°, β = 90.00°, γ = 148.86°
With the nearest neighbours (Å) after each atom.
Element x y z (fractional)
1 Dy 0.0502 0.9498 0.7500  2 Ni 2.81
2 Dy 0.1764 0.8236 0.0625  2 Ni 2.80
3 Dy 0.1764 0.8236 0.4375  2 Ni 2.80
4 Dy 0.4386 0.5614 0.0856  2 Ni 2.74
5 Dy 0.4386 0.5614 0.4144  2 Ni 2.74
6 Dy 0.5614 0.4386 0.5856  2 Ni 2.74
7 Dy 0.5614 0.4386 0.9144  2 Ni 2.74
8 Dy 0.8236 0.1764 0.5625  2 Ni 2.80
9 Dy 0.8236 0.1764 0.9375  2 Ni 2.80
10 Dy 0.9498 0.0502 0.2500  2 Ni 2.81
11 Ho 0.2282 0.7718 0.2500  4 Ni 2.87
12 Ho 0.7718 0.2282 0.7500  4 Ni 2.87
13 Ni 0.2001 0.7999 0.6393  5 Dy 2.74-2.81, 2 Ho 2.87
14 Ni 0.2001 0.7999 0.8607  5 Dy 2.74-2.81, 2 Ho 2.87
15 Ni 0.7999 0.2001 0.1393  5 Dy 2.74-2.81, 2 Ho 2.87
16 Ni 0.7999 0.2001 0.3607  5 Dy 2.74-2.81, 2 Ho 2.87

Compound: SiNi2SbBr
Source: Alexandria
Functional: PBE-GGA
Structure: optimized geometry

Formation energy (no corrections) = 1.031 eV/atom
Density of states at the Fermi level = 5.99 states/eV per cell

a = 4.7050 Å, b = 4.7050 Å, c = 5.7170 Å
α = 90.00°, β = 90.00°, γ = 90.00°
With the nearest neighbours (Å) after each atom.
Element x y z (fractional)
1 Si 0.0000 0.0000 0.0000  4 Br 3.33, 8 Ni 3.70
2 Ni 0.0000 0.5000 0.5000  2 Sb 2.35
3 Ni 0.5000 0.0000 0.5000  2 Sb 2.35
4 Sb 0.5000 0.5000 0.5000  4 Ni 2.35
5 Br 0.5000 0.5000 0.0000  2 Sb 2.86

Compound: Na7Br2ClO2
Source: Alexandria
Functional: PBE-GGA
Structure: optimized geometry

Formation energy (no corrections) = -1.437 eV/atom
Density of states at the Fermi level = 0.00 states/eV per cell

a = 12.4961 Å, b = 12.4961 Å, c = 12.4961 Å
α = 159.03°, β = 159.03°, γ = 29.82°
With the nearest neighbours (Å) after each atom.
Element x y z (fractional)
1 Na 0.0000 0.0000 0.0000  2 O 2.28
2 Na 0.0934 0.5934 0.5000  2 O 2.27
3 Na 0.1890 0.1890 0.0000  1 O 2.29
4 Na 0.4066 0.9066 0.5000  2 O 2.27
5 Na 0.5934 0.0934 0.5000  2 O 2.27
6 Na 0.8110 0.8110 0.0000  1 O 2.29
7 Na 0.9066 0.4066 0.5000  2 O 2.27
8 Br 0.3119 0.3119 0.0000  9 Na 2.97-3.23
9 Br 0.6881 0.6881 0.0000  9 Na 2.97-3.23
10 Cl 0.5000 0.5000 0.0000  12 Na 3.20-3.22
11 O 0.0943 0.0943 0.0000  6 Na 2.27-2.29
12 O 0.9057 0.9057 0.0000  6 Na 2.27-2.29

Compound: LiSc3Os
Source: Alexandria
Functional: PBE-GGA
Structure: optimized geometry

Energy of formation = 0.899 eV per atom
Density of states at the Fermi level = 8.58 states/eV per cell

a = 4.5920 Å, b = 4.5920 Å, c = 4.5920 Å
α = 90.00°, β = 90.00°, γ = 90.00°
With the nearest neighbours (Å) after each atom.
Element x y z (fractional)
1 Li 0.0000 0.0000 0.0000  6 Sc 2.30
2 Sc 0.0000 0.0000 0.5000  2 Li 2.30
3 Sc 0.0000 0.5000 0.0000  2 Li 2.30
4 Sc 0.5000 0.0000 0.0000  2 Li 2.30
5 Os 0.5000 0.5000 0.5000  12 Sc 3.25

Compound: ScCuSb2As
Source: Alexandria
Functional: PBE-GGA
Structure: optimized geometry

Formation energy (no corrections) = 0.203 eV/atom
Density of states at the Fermi level = 3.61 states/eV per cell

a = 5.1945 Å, b = 5.1945 Å, c = 4.5356 Å
α = 90.00°, β = 90.00°, γ = 90.00°
With the nearest neighbours (Å) after each atom.
Element x y z (fractional)
1 Sc 0.0000 0.0000 0.0000  8 Sb 3.45, 4 As 3.67
2 Cu 0.5000 0.5000 0.5000  2 As 2.27
3 Sb 0.0000 0.5000 0.5000  2 Cu 2.60
4 Sb 0.5000 0.0000 0.5000  2 Cu 2.60
5 As 0.5000 0.5000 0.0000  2 Cu 2.27

Compound: CeZnCo2H8
Source: Alexandria
Functional: PBE-GGA
Structure: optimized geometry

Uncorrected energy = -49.80 eV/f.u.
Density of states at the Fermi level = 8.33 states/eV per cell

a = 6.0628 Å, b = 6.0628 Å, c = 6.0628 Å
α = 43.26°, β = 43.26°, γ = 43.26°
With the nearest neighbours (Å) after each atom.
Element x y z (fractional)
1 Ce 0.0000 0.0000 0.0000  6 H 2.31
2 Zn 0.5000 0.5000 0.5000  6 H 1.89
3 Co 0.1957 0.1957 0.1957  7 H 1.61-1.73
4 Co 0.8043 0.8043 0.8043  7 H 1.61-1.73
5 H 0.0966 0.8633 0.3996  2 Co 1.61-1.73
6 H 0.1367 0.6004 0.9034  2 Co 1.61-1.73
7 H 0.2961 0.2961 0.2961  1 Co 1.65
8 H 0.3996 0.0966 0.8633  2 Co 1.61-1.73
9 H 0.6004 0.9034 0.1367  2 Co 1.61-1.73
10 H 0.7039 0.7039 0.7039  1 Co 1.65
11 H 0.8633 0.3996 0.0966  2 Co 1.61-1.73
12 H 0.9034 0.1367 0.6004  2 Co 1.61-1.73

Compound: Rb2Cd3In4Bi
Source: Alexandria
Functional: PBE-GGA
Structure: optimized geometry

Energy of formation = -0.110 eV per atom
Density of states at the Fermi level = 4.11 states/eV per cell

a = 5.0825 Å, b = 5.0825 Å, c = 12.6898 Å
α = 90.00°, β = 90.00°, γ = 90.00°
With the nearest neighbours (Å) after each atom.
Element x y z (fractional)
1 Rb 0.0000 0.5000 0.2475  8 In 3.86-4.04, 6 Cd 3.90-4.09, 2 Bi 4.09
2 Rb 0.5000 0.0000 0.7525  8 In 3.86-4.04, 6 Cd 3.90-4.09, 2 Bi 4.09
3 Cd 0.0000 0.5000 0.8721  5 In 2.94-3.02
4 Cd 0.5000 0.0000 0.1279  5 In 2.94-3.02
5 Cd 0.5000 0.5000 0.5000  4 In 3.10
6 In 0.0000 0.0000 0.0000  4 Cd 3.02
7 In 0.0000 0.5000 0.6406  3 Cd 2.94-3.10, 2 Bi 3.10
8 In 0.5000 0.0000 0.3594  3 Cd 2.94-3.10, 2 Bi 3.10
9 In 0.5000 0.5000 0.0000  4 Cd 3.02
10 Bi 0.0000 0.0000 0.5000  4 In 3.10

Compound: Li2CuMo
Source: Alexandria
Functional: PBE-GGA
Structure: optimized geometry

Energy of formation = 0.312 eV per atom
Density of states at the Fermi level = 3.19 states/eV per cell

a = 5.1358 Å, b = 5.1358 Å, c = 4.7468 Å
α = 106.71°, β = 106.71°, γ = 28.50°
With the nearest neighbours (Å) after each atom.
Element x y z (fractional)
1 Li 0.2324 0.2324 0.2388  6 Li 2.53-2.71, 2 Cu 2.58
2 Li 0.7676 0.7676 0.7612  6 Li 2.53-2.71, 2 Cu 2.58
3 Cu 0.5000 0.5000 0.0000  2 Cu 2.53, 4 Li 2.58, 4 Mo 2.69
4 Mo 0.0000 0.0000 0.5000  2 Mo 2.53, 4 Cu 2.69

Compound: Dy2TlCu
Source: Alexandria
Functional: PBE-GGA
Structure: optimized geometry

Energy of formation = -0.287 eV per atom
Density of states at the Fermi level = 3.40 states/eV per cell

a = 3.5648 Å, b = 3.5648 Å, c = 7.6134 Å
α = 90.00°, β = 90.00°, γ = 90.00°
With the nearest neighbours (Å) after each atom.
Element x y z (fractional)
1 Dy 0.0000 0.0000 0.2207  4 Cu 3.03, 4 Tl 3.30, 1 Dy 3.36
2 Dy 0.0000 0.0000 0.7793  4 Cu 3.03, 4 Tl 3.30, 1 Dy 3.36
3 Tl 0.5000 0.5000 0.5000  8 Dy 3.30, 4 Tl 3.56
4 Cu 0.5000 0.5000 0.0000  8 Dy 3.03

Compound: Tb2TmGa6
Source: Alexandria
Functional: PBE-GGA
Structure: optimized geometry

Energy of formation = -0.445 eV per atom
Density of states at the Fermi level = 4.97 states/eV per cell

a = 7.8614 Å, b = 7.8614 Å, c = 7.8614 Å
α = 148.28°, β = 127.64°, γ = 62.53°
With the nearest neighbours (Å) after each atom.
Element x y z (fractional)
1 Tb 0.1257 0.1257 0.0000  10 Ga 2.89-3.13
2 Tb 0.8743 0.8743 0.0000  10 Ga 2.89-3.13
3 Tm 0.5000 0.0000 0.5000  4 Ga 3.02
4 Ga 0.1249 0.3163 0.8086  2 Ga 2.60-2.66, 1 Tb 2.89
5 Ga 0.1932 0.5000 0.6932  3 Ga 2.60-2.68
6 Ga 0.4923 0.6837 0.8086  2 Ga 2.60-2.66, 1 Tb 2.89
7 Ga 0.5077 0.3163 0.1914  2 Ga 2.60-2.66, 1 Tb 2.89
8 Ga 0.8068 0.5000 0.3068  3 Ga 2.60-2.68
9 Ga 0.8751 0.6837 0.1914  2 Ga 2.60-2.66, 1 Tb 2.89

Compound: PmTh2Re
Source: Alexandria
Functional: PBE-GGA
Structure: optimized geometry

Energy of formation = 0.462 eV per atom
Density of states at the Fermi level = 5.70 states/eV per cell

a = 10.5641 Å, b = 10.5641 Å, c = 10.5641 Å
α = 21.48°, β = 21.48°, γ = 21.48°
With the nearest neighbours (Å) after each atom.
Element x y z (fractional)
1 Pm 0.0000 0.0000 0.0000  2 Th 3.52, 6 Pm 3.94
2 Th 0.1136 0.1136 0.1136  3 Re 2.80
3 Th 0.8864 0.8864 0.8864  3 Re 2.80
4 Re 0.5000 0.5000 0.5000  6 Th 2.80

Compound: Sr2TaWBr
Source: Alexandria
Functional: PBE-GGA
Structure: optimized geometry

Formation energy (no corrections) = 1.671 eV/atom
Density of states at the Fermi level = 4.42 states/eV per cell

a = 6.1640 Å, b = 6.1640 Å, c = 4.8776 Å
α = 90.00°, β = 90.00°, γ = 90.00°
With the nearest neighbours (Å) after each atom.
Element x y z (fractional)
1 Sr 0.0000 0.5000 0.0000  2 Ta 3.08
2 Sr 0.5000 0.0000 0.0000  2 Ta 3.08
3 Ta 0.0000 0.0000 0.0000  2 Br 2.44
4 W 0.5000 0.5000 0.5000  8 Sr 3.93, 4 Br 4.36
5 Br 0.0000 0.0000 0.5000  2 Ta 2.44

Compound: Rb6InPt
Source: Alexandria
Functional: PBE-GGA
Structure: optimized geometry

Energy of formation = -0.069 eV per atom
Density of states at the Fermi level = 5.04 states/eV per cell

a = 4.6780 Å, b = 10.4813 Å, c = 10.4813 Å
α = 85.43°, β = 90.00°, γ = 90.00°
With the nearest neighbours (Å) after each atom.
Element x y z (fractional)
1 Rb 0.0000 0.0000 0.0000  10 Rb 4.68-4.97
2 Rb 0.0000 0.5632 0.8469  2 Pt 3.67, 1 In 3.85, 1 Rb 4.03
3 Rb 0.0000 0.8469 0.5632  2 Pt 3.67, 1 In 3.85, 1 Rb 4.03
4 Rb 0.5000 0.2599 0.6797  1 Pt 3.41, 2 In 3.81
5 Rb 0.5000 0.2763 0.2763  2 In 4.06, 2 Rb 4.22
6 Rb 0.5000 0.6797 0.2599  1 Pt 3.41, 2 In 3.81
7 In 0.0000 0.4920 0.4920  2 Pt 2.68
8 Pt 0.5000 0.5769 0.5769  2 In 2.68

Compound: Rb3Ag4F12
Source: Alexandria
Functional: PBE-GGA
Structure: optimized geometry

Formation energy (no corrections) = -1.723 eV/atom
Density of states at the Fermi level = 6.72 states/eV per cell

a = 7.5629 Å, b = 7.5629 Å, c = 7.5629 Å
α = 109.47°, β = 109.47°, γ = 109.47°
With the nearest neighbours (Å) after each atom.
Element x y z (fractional)
1 Rb 0.0000 0.5000 0.5000  12 F 2.99-3.09
2 Rb 0.5000 0.0000 0.5000  12 F 2.99-3.09
3 Rb 0.5000 0.5000 0.0000  12 F 2.99-3.09
4 Ag 0.0000 0.0000 0.5000  6 F 2.19
5 Ag 0.0000 0.5000 0.0000  6 F 2.19
6 Ag 0.5000 0.0000 0.0000  6 F 2.19
7 Ag 0.5000 0.5000 0.5000  6 F 2.19
8 F 0.0000 0.2576 0.7424  2 Ag 2.19
9 F 0.0000 0.7424 0.2576  2 Ag 2.19
10 F 0.2576 0.0000 0.7424  2 Ag 2.19
11 F 0.2576 0.2576 0.5152  2 Ag 2.19
12 F 0.2576 0.5152 0.2576  2 Ag 2.19
13 F 0.2576 0.7424 0.0000  2 Ag 2.19
14 F 0.4848 0.7424 0.7424  2 Ag 2.19
15 F 0.5152 0.2576 0.2576  2 Ag 2.19
16 F 0.7424 0.0000 0.2576  2 Ag 2.19
17 F 0.7424 0.2576 0.0000  2 Ag 2.19
18 F 0.7424 0.4848 0.7424  2 Ag 2.19
19 F 0.7424 0.7424 0.4848  2 Ag 2.19

Compound: Li3CuPt
Source: Alexandria
Functional: PBE-GGA
Structure: optimized geometry

Energy of formation = 0.274 eV per atom
Density of states at the Fermi level = 0.43 states/eV per cell

a = 4.3576 Å, b = 4.3576 Å, c = 4.3576 Å
α = 90.00°, β = 90.00°, γ = 90.00°
With the nearest neighbours (Å) after each atom.
Element x y z (fractional)
1 Li 0.0000 0.0000 0.5000  2 Cu 2.18
2 Li 0.0000 0.5000 0.0000  2 Cu 2.18
3 Li 0.5000 0.0000 0.0000  2 Cu 2.18
4 Cu 0.0000 0.0000 0.0000  6 Li 2.18
5 Pt 0.5000 0.5000 0.5000  12 Li 3.08

Compound: FeCo2As
Source: Alexandria
Functional: PBE-GGA
Structure: optimized geometry

Energy of formation = 0.013 eV per atom
Density of states at the Fermi level = 2.02 states/eV per cell

a = 4.5060 Å, b = 4.5060 Å, c = 4.0803 Å
α = 105.85°, β = 105.85°, γ = 37.85°
With the nearest neighbours (Å) after each atom.
Element x y z (fractional)
1 Fe 0.0000 0.0000 0.0000  7 Co 2.44-2.51, 2 As 2.66
2 Co 0.5085 0.5085 0.5055  3 As 2.43-2.47, 4 Fe 2.51
3 Co 0.7399 0.7399 0.1395  3 Fe 2.44, 4 As 2.50-2.52
4 As 0.2460 0.2460 0.6473  7 Co 2.43-2.52, 2 Fe 2.66

Compound: YNi2Ag
Source: Alexandria
Functional: PBE-GGA
Structure: optimized geometry

Energy of formation = -0.161 eV per atom
Density of states at the Fermi level = 4.65 states/eV per cell

a = 5.3807 Å, b = 5.3807 Å, c = 5.3807 Å
α = 45.34°, β = 45.34°, γ = 45.34°
With the nearest neighbours (Å) after each atom.
Element x y z (fractional)
1 Y 0.0000 0.0000 0.0000  7 Ni 2.93-3.07, 4 Ag 2.96-3.03
2 Ni 0.4498 0.4498 0.4498  3 Ni 2.40
3 Ni 0.7879 0.7879 0.7879  3 Ni 2.40
4 Ag 0.2050 0.2050 0.2050  6 Ni 2.68-2.72, 1 Y 2.96

Compound: Cs3Li2CuBr6
Source: Alexandria
Functional: PBE-GGA
Structure: optimized geometry

Formation energy (no corrections) = -1.329 eV/atom

a = 7.8983 Å, b = 7.8983 Å, c = 9.0884 Å
α = 90.00°, β = 90.00°, γ = 120.00°
With the nearest neighbours (Å) after each atom.
Element x y z (fractional)
1 Cs 0.0000 0.0000 0.0000  6 Br 3.59
2 Cs 0.3333 0.6667 0.6450  1 Li 3.49, 3 Br 3.84
3 Cs 0.6667 0.3333 0.3550  1 Li 3.49, 3 Br 3.84
4 Li 0.3333 0.6667 0.2610  3 Br 2.41
5 Li 0.6667 0.3333 0.7390  3 Br 2.41
6 Cu 0.0000 0.0000 0.5000  6 Br 2.78
7 Br 0.1607 0.3215 0.3121  1 Li 2.41
8 Br 0.1607 0.8393 0.3121  1 Li 2.41
9 Br 0.3215 0.1607 0.6879  1 Li 2.41
10 Br 0.6785 0.8393 0.3121  1 Li 2.41
11 Br 0.8393 0.1607 0.6879  1 Li 2.41
12 Br 0.8393 0.6785 0.6879  1 Li 2.41